Crystalline BeIrF3 at its relaxed geometry. Source: the Alexandria database, functional PBE.

Relative energy among the computed polymorphs = 74.5 kJ per mole of atoms
Fermi-level density of states = 9.167 states/eV per cell
Total DFT energy (no corrections) = -18.9 eV per cell
Calculated volume = 74.0 Å³ per cell
ΔE_f (raw) = -0.149 eV/atom

Lattice parameters (Å, degrees): 4.1982 4.1982 4.1982 90.00 90.00 90.00
Fractional coordinates of all 5 atoms:
1 Be 0.0000 0.0000 0.0000
2 Ir 0.5000 0.5000 0.5000
3 F 0.0000 0.5000 0.5000
4 F 0.5000 0.0000 0.5000
5 F 0.5000 0.5000 0.0000